[1]
MnFeOs after structural relaxation. Source: Alexandria via LeMat-Bulk, functional PBE.

Geometry as extended XYZ:
```
3
Lattice="-4.430 -3.332 1.162 -3.150 -3.217 3.437 -1.785 1.671 0.921" Properties=species:S:1:pos:R:3 pbc="T T T"
Os -3.707 -1.055 2.140
Fe -1.812 1.633 0.938
Mn -5.632 -3.786 3.363
```

## Properties
offset from the most stable computed form: 0.0963 eV/atom
formation energy: 3.64 kcal/mol of atoms

[2]
MnFe2Os after structural relaxation. Source: Alexandria via LeMat-Bulk, functional PBE.

Geometry as extended XYZ:
```
4
Lattice="2.571 0.000 0.000 0.000 3.630 0.000 0.000 0.000 5.167" Properties=species:S:1:pos:R:3 pbc="T T T"
Fe 0.000 0.000 0.039
Os 1.286 1.815 3.909
Fe 1.286 1.815 1.279
Mn 0.000 0.000 2.522
```

## Properties
formation energy: 2.34 kcal/mol of atoms

[3]
Mn3Fe2Os after structural relaxation. Source: Alexandria via LeMat-Bulk, functional PBE.

Geometry as extended XYZ:
```
12
Lattice="4.973 0.000 0.000 0.000 4.175 -2.020 0.000 0.635 6.637" Properties=species:S:1:pos:R:3 pbc="T T T"
Fe 2.486 4.015 2.974
Mn 1.243 3.247 -1.571
Fe 0.000 4.015 2.974
Mn 3.730 3.015 1.133
Mn 3.730 0.928 -0.449
Mn 1.243 3.192 1.047
Os 3.730 2.928 -1.417
Mn 3.730 1.618 3.570
Os 1.243 1.247 -0.603
Mn 1.243 1.795 3.485
Fe 2.486 0.795 1.643
Fe 0.000 0.795 1.643
```

## Properties
formation energy: 6.32 kcal/mol of atoms